No. 1
# MgSc3C

A relaxed MgSc3C crystal (PBEsol, Alexandria via LeMat-Bulk).

Cell: 4.991 4.991 4.991 Å, 90.00 90.00 90.00°
Space group Pm-3m (No. 221)
One atom of each set of equivalent atoms:
Mg  0.000  0.000  0.000 (multiplicity 1)
Sc  0.000  0.000  0.500 (multiplicity 3)
C  0.500  0.500  0.500 (multiplicity 1)

Energy above the most stable polymorph in this dataset in eV/atom: 2.306



No. 2
# MgSc3C

A relaxed MgSc3C crystal (PBEsol, Alexandria via LeMat-Bulk).

Cell: 4.571 4.571 4.571 Å, 90.00 90.00 90.00°
Space group Pm-3m (No. 221)
One atom of each set of equivalent atoms:
Mg  0.000  0.000  0.000 (multiplicity 1)
Sc  0.000  0.500  0.500 (multiplicity 3)
C  0.500  0.500  0.500 (multiplicity 1)

Energy above the most stable polymorph in this dataset in eV/atom: 0.000



No. 3
# Mg2SnC

A relaxed Mg2SnC crystal (PBEsol, Alexandria via LeMat-Bulk).

Cell: 7.587 7.587 5.073 Å, 90.00 90.00 90.00°
Space group I-42d (No. 122)
One atom of each set of equivalent atoms:
Mg  0.130  0.750  0.125 (multiplicity 8)
Sn  0.000  0.000  0.500 (multiplicity 4)
C  0.000  0.000  0.000 (multiplicity 4)

Uncorrected energy in eV/cell: -60.39



No. 4
# MgSnC3

A relaxed MgSnC3 crystal (PBEsol, Alexandria via LeMat-Bulk).

Cell: 4.101 4.101 4.101 Å, 90.00 90.00 90.00°
Space group Pm-3m (No. 221)
One atom of each set of equivalent atoms:
Mg  0.000  0.000  0.000 (multiplicity 1)
Sn  0.500  0.500  0.500 (multiplicity 1)
C  0.000  0.000  0.500 (multiplicity 3)

Uncorrected energy in eV/cell: -21.50



No. 5
# MgSnC2

A relaxed MgSnC2 crystal (PBEsol, Alexandria via LeMat-Bulk).

Cell: 5.260 5.260 9.149 Å, 90.00 90.00 90.00°
Space group I-42d (No. 122)
One atom of each set of equivalent atoms:
Mg  0.000  0.000  0.000 (multiplicity 4)
Sn  0.000  0.000  0.500 (multiplicity 4)
C  0.240  0.250  0.625 (multiplicity 8)

Uncorrected energy in eV/cell: -81.04



No. 6
# Sr3MgC

A relaxed Sr3MgC crystal (PBEsol, Alexandria via LeMat-Bulk).

Cell: 5.460 5.460 5.460 Å, 90.00 90.00 90.00°
Space group Pm-3m (No. 221)
One atom of each set of equivalent atoms:
Sr  0.000  0.000  0.500 (multiplicity 3)
Mg  0.500  0.500  0.500 (multiplicity 1)
C  0.000  0.000  0.000 (multiplicity 1)

Uncorrected energy in eV/cell: -15.27



No. 7
# MgTa2WC

A relaxed MgTa2WC crystal (PBEsol, Alexandria via LeMat-Bulk).

Cell: 4.623 4.623 4.457 Å, 90.00 90.00 90.00°
Space group P4/mmm (No. 123)
One atom of each set of equivalent atoms:
Mg  0.000  0.000  0.000 (multiplicity 1)
Ta  0.000  0.500  0.000 (multiplicity 2)
W  0.000  0.000  0.500 (multiplicity 1)
C  0.500  0.500  0.500 (multiplicity 1)

Uncorrected energy in eV/cell: -32.79



No. 8
# MgTc2C

A relaxed MgTc2C crystal (PBEsol, Alexandria via LeMat-Bulk).

Cell: 5.760 5.760 5.760 Å, 90.00 90.00 90.00°
Space group Fm-3m (No. 225)
One atom of each set of equivalent atoms:
Mg  0.000  0.000  0.000 (multiplicity 4)
Tc  0.250  0.250  0.250 (multiplicity 8)
C  0.000  0.000  0.500 (multiplicity 4)

Uncorrected energy in eV/cell: -113.61



Number 1: V 24.86 Å³ per atom. Number 2: V 19.11 Å³ per atom. Number 3: V 18.25 Å³ per atom. Number 4: V 13.79 Å³ per atom. Number 5: V 15.82 Å³ per atom. Number 6: V 32.55 Å³ per atom. Number 7: V 19.05 Å³ per atom. Number 8: V 11.95 Å³ per atom.